1.
Computed, not measured: an optimized crystal structure of PrGa3Pt5 at the GGA-PBE level of DFT.

The total magnetization is 0.000 μB per atom. The energy comes out at -5.614 eV per atom. As for the formation energy: -624 kJ/mol of formula units.

The structure belongs to space group Cmcm (No. 63); the cell edges are 3.9368, 13.1209 and 13.1264 Å and the angles 90.00°, 90.00° and 90.00°. The distinct sites, in fractional coordinates, are Pr at (0.0000, 0.1299, 0.2500), Ga at (0.0000, 0.1226, 0.7500), Ga at (0.0000, 0.3781, 0.5353), Pt at (0.0000, 0.0000, 0.0000), Pt at (0.0000, 0.1992, 0.5764) and Pt at (0.0000, 0.4620, 0.1479).


2.
Computed, not measured: an optimized crystal structure of CsCaMgAu2 at the GGA-PBE level of DFT.

The total magnetization is 0.000 μB per atom. The energy comes out at -2.167 eV per atom. As for the formation energy: 16 kJ/mol of formula units.

The structure belongs to space group P4/mmm (No. 123); the cell edges are 5.7632, 5.7632 and 6.1717 Å and the angles 90.00°, 90.00° and 90.00°. The distinct sites, in fractional coordinates, are Cs at (0.0000, 0.0000, 0.0000), Ca at (0.5000, 0.5000, 0.5000), Mg at (0.5000, 0.5000, 0.0000) and Au at (0.0000, 0.5000, 0.5000).


3.
Computed, not measured: an optimized crystal structure of KCr2Te at the GGA-PBE level of DFT.

The formation energy without anion corrections comes out at 0.569 eV per atom. The total magnetization is 2.182 μB per atom. The energy comes out at -5.302 eV per atom.

The structure belongs to space group R-3m (No. 166, hexagonal axes); the cell edges are 4.8111, 4.8111 and 18.8621 Å and the angles 90.00°, 90.00° and 120.00°. The distinct sites, in fractional coordinates, are K at (0.0000, 0.0000, 0.0000), Cr at (0.0000, 0.0000, 0.1904) and Te at (0.0000, 0.0000, 0.5000).


4.
Computed, not measured: an optimized crystal structure of YErCdCu at the GGA-PBE level of DFT.

The total magnetization is 0.000 μB per atom. The energy comes out at -4.297 eV per atom. As for the formation energy: -111 kJ/mol of formula units. The calculation puts the energy above the most stable polymorph in this dataset at 0.0 meV/atom.

The structure belongs to space group P4mm (No. 99); the cell edges are 3.4979, 3.4979 and 7.6369 Å and the angles 90.00°, 90.00° and 90.00°. The distinct sites, in fractional coordinates, are Y at (0.0000, 0.0000, 0.0000), Er at (0.0000, 0.0000, 0.5566), Cd at (0.5000, 0.5000, 0.2815) and Cu at (0.5000, 0.5000, 0.7702).


5.
Computed, not measured: an optimized crystal structure of CsPClF6 at the GGA-PBE level of DFT.

The formation energy without anion corrections comes out at -2.318 eV per atom. The total magnetization is 0.112 μB per atom. The energy comes out at -4.466 eV per atom.

The structure belongs to space group P1 (No. 1); the cell edges are 5.0586, 5.9256 and 6.5583 Å and the angles 64.39°, 87.51° and 87.71°. The distinct sites, in fractional coordinates, are Cs at (0.0000, 0.0000, 0.0000), P at (0.3593, 0.3212, 0.3580), Cl at (0.6550, 0.6184, 0.7869), F at (0.1588, 0.4104, 0.1448), F at (0.1674, 0.0894, 0.5085), F at (0.1956, 0.5049, 0.4490), F at (0.5242, 0.1436, 0.2592), F at (0.5530, 0.5607, 0.1993) and F at (0.5626, 0.2401, 0.5641).


6.
Computed, not measured: an optimized crystal structure of Pr2DyY2Tm at the GGA-PBE level of DFT.

The total magnetization is 0.000 μB per atom. The energy comes out at -5.117 eV per atom. As for the formation energy: 83 kJ/mol of formula units.

The structure belongs to space group Pnnm (No. 58); the cell edges are 7.0195, 16.4810 and 3.5029 Å and the angles 90.00°, 90.00° and 90.00°. The distinct sites, in fractional coordinates, are Pr at (0.2487, 0.1534, 0.0000), Dy at (0.0000, 0.5000, 0.0000), Y at (0.2492, 0.3421, 0.5000) and Tm at (0.0000, 0.0000, 0.5000).


7.
Computed, not measured: an optimized crystal structure of Sm6Er4Pu at the GGA-PBE level of DFT.

The total magnetization is 0.554 μB per atom. The energy comes out at -5.359 eV per atom. As for the formation energy: 188 kJ/mol of formula units.

The structure belongs to space group Cmcm (No. 63); the cell edges are 3.5421, 23.2035 and 17.5158 Å and the angles 90.00°, 90.00° and 90.00°. The distinct sites, in fractional coordinates, are Sm at (0.0000, 0.0000, 0.0000), Sm at (0.0000, 0.2482, 0.2500), Sm at (0.0000, 0.2583, 0.5828), Sm at (0.0000, 0.4865, 0.1616), Er at (0.0000, 0.1169, 0.1401), Er at (0.0000, 0.3707, 0.0449) and Pu at (0.0000, 0.1281, 0.7500).


8.
Computed, not measured: an optimized crystal structure of Ca7HoIn4 at the GGA-PBE level of DFT.

The total magnetization is 0.047 μB per atom. The energy comes out at -2.606 eV per atom. As for the formation energy: -167 kJ/mol of formula units.

The structure belongs to space group C2/m (No. 12); the cell edges are 14.8239, 5.7674 and 11.4067 Å and the angles 90.00°, 125.69° and 90.00°. The distinct sites, in fractional coordinates, are Ca at (0.0000, 0.0000, 0.0000), Ca at (0.0727, 0.5000, 0.3673), Ca at (0.1751, 0.0000, 0.6177), Ca at (0.2200, 0.5000, 0.8777), Ho at (0.0000, 0.5000, 0.0000), In at (0.0595, 0.0000, 0.7790) and In at (0.1848, 0.0000, 0.3277).


The highest total magnetization belongs to which entry?
KCr2Te


Which value of total magnetization does entry 3 give?
2.182 μB per atom